1.
A geometry-optimized ScCr2Te structure, computed with GGA-PBE.

Computed properties:
**Spin magnetization**: 6.5 μB/cell
**Raw total energy**: -6.68 eV per atom
**Space-group type**: No. 166
**Formation energy without anion corrections**: 48 kJ per mole of atoms

abc: 9.0358 9.0358 9.0358
angles: 20.86 20.86 20.86
Closest atoms and distances in Å follow each position.
Element x y z (fractional)
Te 0.7500 0.7500 0.7500  6 Cr 2.85
Cr 0.0027 0.0027 0.0027  3 Te 2.85, 3 Sc 2.96
Cr 0.4973 0.4973 0.4973  3 Te 2.85, 3 Sc 2.96
Sc 0.2500 0.2500 0.2500  6 Cr 2.96, 6 Sc 3.27

=====

2.
A geometry-optimized Dy5TmCu4 structure, computed with GGA-PBE.

Computed properties:
**Spin magnetization**: 0.0 μB/cell
**Raw total energy**: -4.58 eV per atom
**Space-group type**: No. 123
**DFT formation energy**: -0.192 eV/atom

abc: 3.4713 3.4713 18.9237
angles: 90.00 90.00 90.00
Closest atoms and distances in Å follow each position.
Element x y z (fractional)
Dy 0.5000 0.5000 0.3160  8 Cu 3.00-3.01
Dy 0.5000 0.5000 0.5000  8 Cu 3.01
Dy 0.5000 0.5000 0.6840  8 Cu 3.00-3.01
Dy 0.5000 0.5000 0.8660  4 Cu 3.00
Dy 0.5000 0.5000 0.1340  4 Cu 3.00
Cu 0.0000 0.0000 0.4083  8 Dy 3.01
Cu 0.0000 0.0000 0.5917  8 Dy 3.01
Cu 0.0000 0.0000 0.2251  8 Dy 3.00
Cu 0.0000 0.0000 0.7749  8 Dy 3.00
Tm 0.0000 0.0000 0.0000  4 Tm 3.47, 8 Dy 3.53

=====

3.
A geometry-optimized In3Ni7C structure, computed with GGA-PBE.

Computed properties:
**Spin magnetization**: 0.0 μB/cell
**Raw total energy**: -5.22 eV per atom
**Space-group type**: No. 127
**DFT formation energy**: 0.040 eV/atom

abc: 5.5157 7.3948 7.3948
angles: 90.00 90.00 90.00
Closest atoms and distances in Å follow each position.
Element x y z (fractional)
Ni 0.0000 0.8245 0.3245  1 C 1.84
Ni 0.0000 0.1755 0.6755  1 C 1.84
Ni 0.2386 0.3730 0.8730  1 C 1.87
Ni 0.2386 0.1270 0.3730  1 C 1.87
Ni 0.2386 0.8730 0.6270  1 C 1.87
Ni 0.7614 0.6270 0.1270  1 C 1.87
Ni 0.7614 0.1270 0.3730  1 C 1.87
Ni 0.0000 0.3245 0.1755  1 C 1.84
Ni 0.7614 0.3730 0.8730  1 C 1.87
Ni 0.5000 0.0000 0.0000  6 In 2.74-2.76
Ni 0.5000 0.5000 0.5000  6 In 2.74-2.76
Ni 0.2386 0.6270 0.1270  1 C 1.87
Ni 0.7614 0.8730 0.6270  1 C 1.87
Ni 0.0000 0.6755 0.8245  1 C 1.84
In 0.5000 0.1701 0.6701  10 Ni 2.57-2.76
In 0.0000 0.0000 0.0000  6 Ni 2.73-2.76
In 0.5000 0.6701 0.8299  10 Ni 2.57-2.76
In 0.5000 0.3299 0.1701  10 Ni 2.57-2.76
In 0.5000 0.8299 0.3299  10 Ni 2.57-2.76
In 0.0000 0.5000 0.5000  6 Ni 2.73-2.76
C 0.0000 0.5000 0.0000  6 Ni 1.84-1.87
C 0.0000 0.0000 0.5000  6 Ni 1.84-1.87

=====

4.
A geometry-optimized Ho7Te2Ir2 structure, computed with GGA-PBE.

Computed properties:
**Spin magnetization**: 0.0 μB/cell
**Raw total energy**: -6.02 eV per atom
**Space-group type**: No. 44
**Formation energy without anion corrections**: -89 kJ per mole of atoms

abc: 3.9389 9.3808 9.3808
angles: 60.38 77.88 77.88
Closest atoms and distances in Å follow each position.
Element x y z (fractional)
Ho 0.1845 0.7122 0.9189  3 Ir 2.85-3.09, 1 Te 3.17
Ho 0.8526 0.4034 0.8913  2 Ir 2.87, 2 Te 3.19
Ho 0.5000 0.0242 0.9758  3 Te 3.17
Ho 0.6313 0.4752 0.2622  2 Ir 2.84, 1 Te 3.11
Ho 0.3687 0.7378 0.5248  2 Ir 2.84, 1 Te 3.11
Ho 0.1474 0.1087 0.5966  2 Ir 2.87, 2 Te 3.19
Ho 0.8155 0.0811 0.2878  3 Ir 2.85-3.09, 1 Te 3.17
Te 0.5000 0.3596 0.6404  7 Ho 3.11-3.19
Te 0.0000 0.7608 0.2392  8 Ho 3.17-3.20
Ir 0.2609 0.3345 0.1437  7 Ho 2.84-3.09
Ir 0.7391 0.8563 0.6655  7 Ho 2.84-3.09

=====

5.
A geometry-optimized Sc2PtRh structure, computed with GGA-PBE.

Computed properties:
**Spin magnetization**: 0.0 μB/cell
**Raw total energy**: -7.64 eV per atom
**Space-group type**: No. 123
**DFT formation energy**: -1.127 eV/atom

abc: 4.6233 4.6234 3.2587
angles: 89.98 89.98 90.00
Closest atoms and distances in Å follow each position.
Element x y z (fractional)
Pt 0.5000 0.0000 0.5000  8 Sc 2.83
Rh 0.0000 0.5000 0.5000  8 Sc 2.83
Sc 0.5000 0.5000 0.0000  4 Rh 2.83, 4 Pt 2.83
Sc 0.0000 0.0000 0.0000  4 Pt 2.83, 4 Rh 2.83

=====

6.
A geometry-optimized NbSnAsSe2 structure, computed with GGA-PBE.

Computed properties:
**Spin magnetization**: 0.0 μB/cell
**Energy above the lowest structure with this stoichiometry**: 0.0 meV/atom
**Raw total energy**: -5.17 eV per atom
**Space-group type**: No. 123
**Formation energy without anion corrections**: -3 kJ per mole of atoms

abc: 5.0241 5.0241 5.1671
angles: 90.00 90.00 90.00
Closest atoms and distances in Å follow each position.
Element x y z (fractional)
Se 0.5000 0.0000 0.0000  2 Nb 2.51
Se 0.0000 0.5000 0.0000  2 Nb 2.51
Nb 0.0000 0.0000 0.0000  4 Se 2.51, 2 As 2.58
As 0.0000 0.0000 0.5000  2 Nb 2.58
Sn 0.5000 0.5000 0.5000  4 As 3.55, 8 Se 3.60

=====

Please write out number 3 again, unchanged.
A geometry-optimized In3Ni7C structure, computed with GGA-PBE.

Computed properties:
**Spin magnetization**: 0.0 μB/cell
**Raw total energy**: -5.22 eV per atom
**Space-group type**: No. 127
**DFT formation energy**: 0.040 eV/atom

abc: 5.5157 7.3948 7.3948
angles: 90.00 90.00 90.00
Closest atoms and distances in Å follow each position.
Element x y z (fractional)
Ni 0.0000 0.8245 0.3245  1 C 1.84
Ni 0.0000 0.1755 0.6755  1 C 1.84
Ni 0.2386 0.3730 0.8730  1 C 1.87
Ni 0.2386 0.1270 0.3730  1 C 1.87
Ni 0.2386 0.8730 0.6270  1 C 1.87
Ni 0.7614 0.6270 0.1270  1 C 1.87
Ni 0.7614 0.1270 0.3730  1 C 1.87
Ni 0.0000 0.3245 0.1755  1 C 1.84
Ni 0.7614 0.3730 0.8730  1 C 1.87
Ni 0.5000 0.0000 0.0000  6 In 2.74-2.76
Ni 0.5000 0.5000 0.5000  6 In 2.74-2.76
Ni 0.2386 0.6270 0.1270  1 C 1.87
Ni 0.7614 0.8730 0.6270  1 C 1.87
Ni 0.0000 0.6755 0.8245  1 C 1.84
In 0.5000 0.1701 0.6701  10 Ni 2.57-2.76
In 0.0000 0.0000 0.0000  6 Ni 2.73-2.76
In 0.5000 0.6701 0.8299  10 Ni 2.57-2.76
In 0.5000 0.3299 0.1701  10 Ni 2.57-2.76
In 0.5000 0.8299 0.3299  10 Ni 2.57-2.76
In 0.0000 0.5000 0.5000  6 Ni 2.73-2.76
C 0.0000 0.5000 0.0000  6 Ni 1.84-1.87
C 0.0000 0.0000 0.5000  6 Ni 1.84-1.87

=====

- Which value of spin magnetization does entry 5 give?
  0.0 μB/cell

=====

- Among the records above, which one has the highest raw total energy?
  Dy5TmCu4